Entry 1:
Computed, not measured: a relaxed Pu2SO crystal at the GGA-PBE level of DFT.

Unit cell a=4.5066 b=4.5066 c=4.5066 alpha=70.36 beta=70.36 gamma=70.36
Last column: nearest neighbours and their distance in Å.
Fractional positions:
Pu  0.2184  0.2184  0.2184  1 O 2.20
Pu  0.7816  0.7816  0.7816  1 O 2.20
S  0.5000  0.5000  0.5000  8 Pu 2.84-3.04
O  0.0000  0.0000  0.0000  2 Pu 2.20

Properties
**Energy relative to the elements, uncorrected**: -1.5842 eV/atom
**Energy above the lowest structure with this stoichiometry**: 39.03 kJ/mol of atoms
**E**: -11.022 eV/atom

---

Entry 2:
Computed, not measured: a relaxed PuSO5 crystal at the GGA-PBE level of DFT.

Unit cell a=7.9573 b=7.0782 c=8.1866 alpha=90.00 beta=90.00 gamma=90.00
Last column: nearest neighbours and their distance in Å.
Fractional positions:
Pu  0.1290  0.2500  0.2496  2 O 2.06
Pu  0.3710  0.7500  0.7496  2 O 2.06
Pu  0.6290  0.2500  0.2504  2 O 2.06
Pu  0.8710  0.7500  0.7504  2 O 2.06
S  0.1216  0.7500  0.1239  4 O 1.48-1.49
S  0.3784  0.2500  0.6239  4 O 1.48-1.49
S  0.6216  0.7500  0.3761  4 O 1.48-1.49
S  0.8784  0.2500  0.8761  4 O 1.48-1.49
O  0.0332  0.2500  0.9792  1 S 1.49
O  0.1214  0.7500  0.6849  2 Pu 2.06
O  0.1217  0.5801  0.2295  1 S 1.48
O  0.1217  0.9199  0.2295  1 S 1.48
O  0.2250  0.2500  0.5191  1 S 1.49
O  0.2750  0.7500  0.0191  1 S 1.49
O  0.3783  0.0801  0.7295  1 S 1.48
O  0.3783  0.4199  0.7295  1 S 1.48
O  0.3786  0.2500  0.1849  2 Pu 2.06
O  0.4668  0.7500  0.4792  1 S 1.49
O  0.5332  0.2500  0.5208  1 S 1.49
O  0.6214  0.7500  0.8151  2 Pu 2.06
O  0.6217  0.5801  0.2705  1 S 1.48
O  0.6217  0.9199  0.2705  1 S 1.48
O  0.7250  0.2500  0.9809  1 S 1.49
O  0.7750  0.7500  0.4809  1 S 1.49
O  0.8783  0.0801  0.7705  1 S 1.48
O  0.8783  0.4199  0.7705  1 S 1.48
O  0.8786  0.2500  0.3151  2 Pu 2.06
O  0.9668  0.7500  0.0208  1 S 1.49

Properties
**Energy relative to the elements, uncorrected**: -2.0795 eV/atom
**E**: -8.258 eV/atom

---

Which value of energy relative to the elements, uncorrected does entry 1 give?
-1.5842 eV/atom